# BaFeSi4O10, relaxed, DFT PBE with a Hubbard U
# distance to the lowest polymorph of the same formula	0.17	eV/f.u.
# crystal system	tetragonal
data_BaFeSi4O10
_space_group_name_H-M_alt 'P 4/n m m'
_space_group_IT_number 129
_cell_length_a 7.6970
_cell_length_b 7.6970
_cell_length_c 8.0565
_cell_angle_alpha 90.00
_cell_angle_beta 90.00
_cell_angle_gamma 90.00
loop_
_space_group_symop_operation_xyz
'x,y,z'
'-x,-y,-z'
'-y+1/2,x,z'
'y+1/2,-x,-z'
'-x+1/2,-y+1/2,z'
'x+1/2,y+1/2,-z'
'y,-x+1/2,z'
'-y,x+1/2,-z'
'x+1/2,-y,-z'
'-x+1/2,y,z'
'-y,-x,-z'
'y,x,z'
'-x,y+1/2,-z'
'x,-y+1/2,z'
'y+1/2,x+1/2,-z'
'-y+1/2,-x+1/2,z'
loop_
_atom_site_label
_atom_site_type_symbol
_atom_site_fract_x
_atom_site_fract_y
_atom_site_fract_z
Ba1 Ba 0.2500 0.7500 0.0000
Fe1 Fe 0.2500 0.2500 0.1809
Si1 Si 0.0424 0.0424 0.6935
O1 O 0.0000 0.0000 0.5000
O2 O 0.0032 0.2500 0.7272
O3 O 0.0655 0.0655 0.1726